(1)
First-principles (GGA-PBE) data for crystalline Mg2ZrZn at its relaxed geometry, as listed in Alexandria.

a = 6.7928 Å, b = 6.7928 Å, c = 6.7928 Å
α = 90.00°, β = 90.00°, γ = 90.00°
With the nearest neighbours (Å) after each atom.
Space group F-43m (No. 216)
Asymmetric unit:
Mg: 0.0000 0.0000 0.0000 x4  4 Mg 2.94, 4 Zn 2.94
Mg: 0.2500 0.2500 0.2500 x4  4 Zr 2.94, 4 Mg 2.94
Zr: 0.0000 0.0000 0.5000 x4  4 Mg 2.94, 4 Zn 2.94
Zn: 0.2500 0.2500 0.7500 x4  4 Zr 2.94, 4 Mg 2.94

(2)
First-principles (GGA-PBE) data for crystalline Mg2ZrZn at its relaxed geometry, as listed in Alexandria.

a = 3.1359 Å, b = 3.1359 Å, c = 8.1377 Å
α = 90.00°, β = 90.00°, γ = 90.00°
With the nearest neighbours (Å) after each atom.
Space group P4/mmm (No. 123)
Asymmetric unit:
Mg: 0.0000 0.0000 0.2195 x2  4 Zn 2.85, 4 Mg 3.14, 4 Zr 3.18
Zr: 0.5000 0.5000 0.5000 x1  4 Zr 3.14, 8 Mg 3.18
Zn: 0.5000 0.5000 0.0000 x1  8 Mg 2.85, 4 Zn 3.14

(3)
First-principles (GGA-PBE) data for crystalline MgZr5Zn3 at its relaxed geometry, as listed in Alexandria.

a = 8.3720 Å, b = 8.3720 Å, c = 5.8967 Å
α = 90.00°, β = 90.00°, γ = 120.00°
With the nearest neighbours (Å) after each atom.
Space group P6_3/mcm (No. 193)
Asymmetric unit:
Mg: 0.0000 0.0000 0.0000 x2  2 Mg 2.95, 6 Zr 3.13, 6 Zn 3.19
Zr: 0.0000 0.3292 0.2500 x6  5 Zn 2.79-2.95
Zr: 0.3333 0.6667 0.0000 x4  8 Zr 2.95-3.17, 6 Zn 3.14
Zn: 0.0000 0.3375 0.7500 x6  5 Zr 2.79-2.95

no.,formation enthalpy at 0 K (kJ per mole of atoms)
1,-1.0
2,-4.6
3,-15.2